Record 1
TaVNi3: optimized geometry, PBE.

## Properties
V	136.5	Å³/cell
ΔE_f	0.373	eV/f.u.
space-group type	No. 11

Lattice parameters (Å, degrees): 5.399 4.995 5.409 90.00 110.69 90.00
Fractional positions:
Ta 0.199 0.250 0.180
Ta 0.801 0.750 0.820
V 0.427 0.750 0.064
V 0.573 0.250 0.936
Ni 0.147 0.750 0.281
Ni 0.216 0.504 0.673
Ni 0.216 0.996 0.673
Ni 0.784 0.004 0.327
Ni 0.784 0.496 0.327
Ni 0.853 0.250 0.719

Record 2
TaVNi: optimized geometry, PBE.

## Properties
V	85.5	Å³/cell
ΔE_f	-0.067	eV/f.u.
space-group type	No. 12

Lattice parameters (Å, degrees): 4.821 4.821 5.231 112.96 112.96 51.27
Fractional positions:
Ta 0.157 0.157 0.317
Ta 0.843 0.843 0.683
V 0.500 0.500 0.000
V 0.500 0.500 0.500
Ni 0.177 0.177 0.845
Ni 0.823 0.823 0.155

Record 3
TaVNi: optimized geometry, PBE.

## Properties
V	85.3	Å³/cell
ΔE_f	-0.114	eV/f.u.
space-group type	No. 8

Lattice parameters (Å, degrees): 4.811 4.811 5.277 114.08 114.08 51.56
Fractional positions:
Ta 0.000 0.000 0.000
Ta 0.704 0.704 0.328
V 0.047 0.047 0.535
V 0.348 0.348 0.649
Ni 0.346 0.346 0.138
Ni 0.670 0.670 0.811